[1]
10
Lattice="7.0843 0.0000 0.0000 0.0000 7.0843 0.0000 0.0000 0.0000 3.1059" Properties=species:S:1:pos:R:3 comment="GGA-PBE Y2PO2, relaxed" e_form_raw_ev_per_atom=-1.97 pbc="T T T"
Y 1.1108 2.4313 0.0000
Y 2.4313 5.9735 0.0000
Y 4.6530 1.1108 0.0000
Y 5.9735 4.6530 0.0000
P 0.0000 0.0000 0.0000
P 3.5422 3.5422 0.0000
O 0.8968 4.4390 1.5530
O 2.6453 0.8968 1.5530
O 4.4390 6.1875 1.5530
O 6.1875 2.6453 1.5530

***

[2]
4
Lattice="3.5085 0.0000 0.0000 0.0000 3.5085 0.0000 0.0000 0.0000 7.2142" Properties=species:S:1:pos:R:3 comment="GGA-PBE Pm2IrS, relaxed" e_form_raw_ev_per_atom=-1.13 pbc="T T T"
Pm 0.0000 0.0000 1.7422
Pm 0.0000 0.0000 5.4720
Ir 1.7542 1.7542 0.0000
S 1.7542 1.7542 3.6071

***

[3]
5
Lattice="4.0830 0.0000 0.0000 0.0000 4.0830 0.0000 0.0000 0.0000 7.2771" Properties=species:S:1:pos:R:3 comment="GGA-PBE HgRuIN2, relaxed" e_form_raw_ev_per_atom=2.45 pbc="T T T"
Hg 0.0000 0.0000 0.0000
Ru 2.0415 2.0415 3.6386
I 0.0000 0.0000 3.6386
N 0.0000 2.0415 0.0000
N 2.0415 0.0000 0.0000

***

[4]
5
Lattice="4.7322 0.0000 0.0000 0.0000 4.7322 0.0000 0.0000 0.0000 4.7371" Properties=species:S:1:pos:R:3 comment="GGA-PBE CuNiAgAu2, relaxed" delta_e_f_ev_per_atom=0.86 pbc="T T T"
Cu 0.0000 0.0000 0.0000
Ni 2.3661 2.3661 2.3685
Ag 2.3661 2.3661 0.0000
Au 0.0000 2.3661 2.3685
Au 2.3661 0.0000 2.3685

***

[5]
3
Lattice="-1.7179 1.7179 7.3337 1.7179 -1.7179 7.3337 1.7179 1.7179 -7.3337" Properties=species:S:1:pos:R:3 comment="GGA-PBE CeGdMg, relaxed" delta_e_f_ev_per_atom=0.04 pbc="T T T"
Ce 0.0000 0.0000 0.0000
Gd 0.0000 0.0000 9.9029
Mg 0.0000 0.0000 4.9320

***

[6]
24
Lattice="8.2040 -12.3795 0.0000 8.2040 12.3795 0.0000 0.0000 0.0000 3.6031" Properties=species:S:1:pos:R:3 comment="GGA-PBE Ho4Er11Tm9, relaxed" delta_e_f_ev_per_atom=0.05 pbc="T T T"
Ho 2.5447 2.4994 0.0000
Ho 2.5447 -2.4994 0.0000
Ho 13.8633 2.4994 0.0000
Ho 13.8633 -2.4994 0.0000
Er 4.5082 4.4848 1.8015
Er 8.2040 9.0895 1.8015
Er 3.4208 0.0000 1.8015
Er 8.2040 3.9524 1.8015
Er 4.5082 -4.4848 1.8015
Er 8.2040 0.0000 1.8015
Er 11.8998 4.4848 1.8015
Er 8.2040 -3.9524 1.8015
Er 12.9872 0.0000 1.8015
Er 8.2040 -9.0895 1.8015
Er 11.8998 -4.4848 1.8015
Tm 0.0000 0.0000 0.0000
Tm 6.5298 6.5936 0.0000
Tm 5.8862 1.7953 0.0000
Tm 9.8782 6.5936 0.0000
Tm 5.8862 -1.7953 0.0000
Tm 10.5218 1.7953 0.0000
Tm 6.5298 -6.5936 0.0000
Tm 10.5218 -1.7953 0.0000
Tm 9.8782 -6.5936 0.0000

***

[7]
7
Lattice="2.1218 -11.6239 0.0000 2.1218 11.6239 0.0000 0.0000 0.0000 3.2692" Properties=species:S:1:pos:R:3 comment="GGA-PBE Li2Tl2Cd3, relaxed" delta_e_f_ev_per_atom=-0.08 pbc="T T T"
Li 2.1218 8.5308 0.0000
Li 2.1218 -8.5308 0.0000
Tl 2.1218 4.6937 1.6346
Tl 2.1218 -4.6937 1.6346
Cd 0.0000 0.0000 0.0000
Cd 2.1218 1.6178 1.6346
Cd 2.1218 -1.6178 1.6346

***

[8]
4
Lattice="4.4641 0.0000 0.0000 -2.2012 3.9672 0.0000 -0.0421 -2.5472 6.1749" Properties=species:S:1:pos:R:3 comment="GGA-PBE BaAl3, relaxed" delta_e_f_ev_per_atom=-0.13 pbc="T T T"
Ba 0.0000 0.0000 0.0000
Al -0.0176 0.0679 3.8224
Al 2.2110 -1.2736 3.0875
Al 2.2384 1.3521 2.3525

***

[9]
4
Lattice="-2.0118 2.0118 4.9581 2.0118 -2.0118 4.9581 2.0118 2.0118 -4.9581" Properties=species:S:1:pos:R:3 comment="GGA-PBE SrScRh2, relaxed" delta_e_f_ev_per_atom=-0.15 pbc="T T T"
Sr 0.0000 0.0000 0.0000
Sc 0.0000 2.0118 2.4791
Rh 2.0118 0.0000 2.4791
Rh 0.0000 0.0000 4.9581

***

[10]
5
Lattice="4.9022 0.0000 0.0000 0.0000 4.9022 0.0000 0.0000 0.0000 4.9022" Properties=species:S:1:pos:R:3 comment="GGA-PBE BiRuSe3, relaxed" e_form_raw_ev_per_atom=0.25 pbc="T T T"
Bi 0.0000 0.0000 0.0000
Ru 2.4511 2.4511 2.4511
Se 0.0000 2.4511 2.4511
Se 2.4511 0.0000 2.4511
Se 2.4511 2.4511 0.0000

***

[11]
12
Lattice="2.5987 1.5004 8.4839 -2.5987 1.5004 8.4839 0.0000 -3.0007 8.4839" Properties=species:S:1:pos:R:3 comment="GGA-PBE Nd2YCu9, relaxed" delta_e_f_ev_per_atom=-0.15 pbc="T T T"
Nd 0.0000 0.0000 3.5790
Nd 0.0000 0.0000 21.8728
Y 0.0000 0.0000 0.0000
Cu -1.2881 -0.7437 10.5145
Cu 0.0000 0.0000 8.4497
Cu 0.0000 -1.4873 14.9373
Cu -1.2881 0.7437 14.9373
Cu 0.0000 0.0000 12.7259
Cu 1.2881 -0.7437 10.5145
Cu 0.0000 1.4873 10.5145
Cu 0.0000 0.0000 17.0021
Cu 1.2881 0.7437 14.9373

***

[12]
6
Lattice="0.0000 4.3053 4.3053 4.3053 0.0000 4.3053 4.3053 4.3053 0.0000" Properties=species:S:1:pos:R:3 comment="GGA-PBE Te4IrAu, relaxed" e_form_raw_ev_per_atom=1.22 pbc="T T T"
Te 1.0761 1.0761 1.0761
Te 3.2292 3.2292 1.0761
Te 3.2292 1.0761 3.2292
Te 1.0761 3.2292 3.2292
Ir 4.3053 4.3053 4.3053
Au 6.4580 6.4580 6.4580

***

[13]
4
Lattice="0.0000 3.3997 3.3997 3.3997 0.0000 3.3997 3.3997 3.3997 0.0000" Properties=species:S:1:pos:R:3 comment="GGA-PBE HoPuNiRh, relaxed" delta_e_f_ev_per_atom=-0.41 pbc="T T T"
Ho 0.0000 0.0000 0.0000
Pu 3.3997 3.3997 3.3997
Ni 5.0995 5.0995 5.0995
Rh 1.6998 1.6998 1.6998

***

[14]
10
Lattice="4.3324 0.0000 0.0000 0.0000 4.3324 0.0000 0.0000 0.0000 11.1219" Properties=species:S:1:pos:R:3 comment="GGA-PBE La2TlAs3Pd4, relaxed" delta_e_f_ev_per_atom=-0.82 pbc="T T T"
La 0.0000 2.1662 2.5556
La 2.1662 0.0000 8.5664
Tl 0.0000 0.0000 5.5610
As 0.0000 2.1662 9.6954
As 2.1662 0.0000 1.4265
As 2.1662 2.1662 5.5610
Pd 0.0000 0.0000 0.0000
Pd 0.0000 2.1662 7.2541
Pd 2.1662 0.0000 3.8679
Pd 2.1662 2.1662 0.0000

***

[15]
5
Lattice="5.1379 0.0000 0.0000 0.0000 5.1379 0.0000 0.0000 0.0000 5.0994" Properties=species:S:1:pos:R:3 comment="GGA-PBE InReSCl2, relaxed" e_form_raw_ev_per_atom=0.79 pbc="T T T"
In 0.0000 0.0000 0.0000
Re 2.5689 2.5689 2.5497
S 0.0000 0.0000 2.5497
Cl 0.0000 2.5689 0.0000
Cl 2.5689 0.0000 0.0000

***

[16]
5
Lattice="4.2397 0.0000 0.0000 0.0000 4.2397 0.0000 0.0000 0.0000 4.2817" Properties=species:S:1:pos:R:3 comment="GGA-PBE ZrZnNF2, relaxed" e_form_raw_ev_per_atom=-1.58 pbc="T T T"
Zr 0.0000 0.0000 0.0000
Zn 2.1198 2.1198 2.1408
N 0.0000 0.0000 2.1408
F 0.0000 2.1198 0.0000
F 2.1198 0.0000 0.0000

***

[17]
12
Lattice="3.9780 -6.8900 0.0000 3.9780 6.8900 0.0000 -2.6524 0.0000 8.2313" Properties=species:S:1:pos:R:3 comment="GGA-PBE K3PrNp2Te6, relaxed" e_form_raw_ev_per_atom=-1.06 pbc="T T T"
K 0.0000 0.0000 0.0000
K 3.9780 2.2694 0.0000
K 3.9780 -2.2694 0.0000
Pr 2.6518 0.0000 4.1156
Np 2.6518 4.5896 4.1156
Np 2.6518 -4.5896 4.1156
Te 1.3007 2.3386 2.3667
Te -0.0507 0.0000 5.8595
Te 1.3007 -2.3386 2.3667
Te 4.0029 2.3386 5.8645
Te 5.3543 0.0000 2.3718
Te 4.0029 -2.3386 5.8645

***

[18]
19
Lattice="6.6505 3.8397 4.3550 -6.6505 3.8397 4.3550 0.0000 -7.6793 4.3550" Properties=species:S:1:pos:R:3 comment="GGA-PBE Pr12Dy6Mg, relaxed" delta_e_f_ev_per_atom=0.13 pbc="T T T"
Pr -4.9137 0.8438 4.3578
Pr -2.7436 -1.5865 5.8093
Pr 1.7261 -4.6773 4.3578
Pr -3.1876 -3.8335 8.7072
Pr 0.0021 -3.1692 7.2558
Pr -2.7457 1.5828 7.2558
Pr 2.7457 -1.5828 5.8093
Pr -0.0021 3.1692 5.8093
Pr 3.1876 3.8335 4.3578
Pr -1.7261 4.6773 8.7072
Pr 2.7436 1.5865 7.2558
Pr 4.9137 -0.8438 8.7072
Dy -0.0080 -2.0599 2.9705
Dy -1.7799 1.0369 2.9705
Dy 1.7879 1.0230 2.9705
Dy -1.7879 -1.0230 10.0945
Dy 1.7799 -1.0369 10.0945
Dy 0.0080 2.0599 10.0945
Mg 0.0000 0.0000 0.0000

***

[19]
5
Lattice="5.6992 0.0000 0.0000 0.0000 5.6992 0.0000 0.0000 0.0000 5.2652" Properties=species:S:1:pos:R:3 comment="GGA-PBE LiSnSeBr2, relaxed" e_form_raw_ev_per_atom=-0.51 pbc="T T T"
Li 0.0000 0.0000 0.0000
Sn 2.8496 2.8496 2.6326
Se 2.8496 2.8496 0.0000
Br 0.0000 2.8496 2.6326
Br 2.8496 0.0000 2.6326

***

[20]
6
Lattice="4.5298 0.0000 0.0000 -2.2649 3.9229 0.0000 0.0000 0.0000 7.6876" Properties=species:S:1:pos:R:3 comment="GGA-PBE Li2AcHoGe2, relaxed" delta_e_f_ev_per_atom=-0.65 pbc="T T T"
Li 0.0000 2.6153 1.4505
Li 2.2649 1.3076 6.2371
Ac 0.0000 0.0000 3.8438
Ho 0.0000 0.0000 0.0000
Ge 0.0000 2.6153 5.9950
Ge 2.2649 1.3076 1.6926

***

The M_tot results, record by record, are as follows: 0.00; 0.00; 3.51; 0.00; 6.53; 0.54; 0.00; 0.00; 0.00; 0.00; 0.00; 0.48; 5.38; 0.00; 5.74; 0.00; 8.00; 0.00; 0.00; 0.00 μB per formula unit.